Here is a geometry-optimized Ca2AlAgO5 structure from Alexandria. Energies are from PBE.

Structure (POSCAR):
```
Ca2AlAgO5
1.0
8.0349 -2.9794 0.0000
8.0349 2.9794 0.0000
-1.7859 0.0000 5.0813
Ca Al Ag O
4 2 2 10
Direct
0.0611 0.4677 0.2685
0.2010 0.7990 0.5000
0.4677 0.0611 0.7685
0.7990 0.2010 0.0000
0.4659 0.7993 0.1203
0.7993 0.4659 0.6203
0.1331 0.6317 0.8963
0.6317 0.1331 0.3963
0.0551 0.3966 0.7890
0.2108 0.8680 0.1084
0.3289 0.4619 0.5857
0.3966 0.0551 0.2890
0.4619 0.3289 0.0857
0.5354 0.7304 0.7905
0.7304 0.5354 0.2905
0.8111 0.9259 0.6990
0.8680 0.2108 0.6084
0.9259 0.8111 0.1990
```

Calculated values
For the relative energy among the computed polymorphs, the calculation gives 0.000 eV/atom. The density of states at the Fermi level comes out at 2.642 states/eV/f.u. As for the formation energy from raw total energies: -2.13 eV per atom.

=====

Here is a geometry-optimized PaSe2Br structure from Alexandria. Energies are from PBE.

Structure (POSCAR):
```
PaSe2Br
1.0
2.3182 1.3384 7.3511
-2.3182 1.3384 7.3511
0.0000 -2.6768 7.3511
Pa Se Br
1 2 1
Direct
0.0000 0.0000 0.0000
0.3674 0.3674 0.3674
0.6082 0.6082 0.6082
0.1247 0.1247 0.1247
```

Calculated values
For the relative energy among the computed polymorphs, the calculation gives 0.013 eV/atom. As for the formation energy from raw total energies: -1.20 eV per atom.

=====

Here is a geometry-optimized Li2Ac3BiO9 structure from Alexandria. Energies are from PBE.

Structure (POSCAR):
```
Li2Ac3BiO9
1.0
5.7007 0.0000 0.0000
-2.8503 4.9369 0.0000
0.0000 0.0000 7.2516
Li Ac Bi O
2 3 1 9
Direct
0.3333 0.6667 0.1830
0.6667 0.3333 0.8170
0.0000 0.0000 0.0000
0.3333 0.6667 0.7207
0.6667 0.3333 0.2793
0.0000 0.0000 0.5000
0.0000 0.5000 0.0000
0.1648 0.3296 0.3187
0.1648 0.8352 0.3187
0.3296 0.1648 0.6813
0.5000 0.0000 0.0000
0.5000 0.5000 0.0000
0.6704 0.8352 0.3187
0.8352 0.1648 0.6813
0.8352 0.6704 0.6813
```

Calculated values
The density of states at the Fermi level comes out at 8.371 states/eV/f.u. As for the formation energy from raw total energies: -2.15 eV per atom.

=====

Here is a geometry-optimized CrCoN2 structure from Alexandria. Energies are from PBE.

Structure (POSCAR):
```
CrCoN2
1.0
1.3496 0.7792 5.4642
-1.3496 0.7792 5.4642
0.0000 -1.5584 5.4642
Cr Co N
1 1 2
Direct
0.0000 0.0000 0.0000
0.8505 0.8505 0.8505
0.5896 0.5896 0.5896
0.7382 0.7382 0.7382
```

Calculated values
For the relative energy among the computed polymorphs, the calculation gives 0.112 eV/atom. The density of states at the Fermi level comes out at 3.023 states/eV/f.u. As for the formation energy from raw total energies: -0.12 eV per atom.

=====

Here is a geometry-optimized Rb2NaFeI6 structure from Alexandria. Energies are from PBE.

Structure (POSCAR):
```
Rb2NaFeI6
1.0
8.0665 0.0000 0.0000
-4.0332 6.9858 0.0000
0.0000 0.0000 7.7089
Rb Na Fe I
2 1 1 6
Direct
0.3333 0.6667 0.3289
0.6667 0.3333 0.6711
0.0000 0.0000 0.0000
0.0000 0.0000 0.5000
0.1565 0.3130 0.7019
0.1565 0.8435 0.7019
0.3130 0.1565 0.2981
0.6870 0.8435 0.7019
0.8435 0.1565 0.2981
0.8435 0.6870 0.2981
```

Calculated values
The density of states at the Fermi level comes out at 10.594 states/eV/f.u. As for the formation energy from raw total energies: -0.81 eV per atom.

=====

Here is a geometry-optimized BeAlCr4 structure from Alexandria. Energies are from PBE.

Structure (POSCAR):
```
BeAlCr4
1.0
0.0000 3.3352 3.3352
3.3352 0.0000 3.3352
3.3352 3.3352 0.0000
Be Al Cr
1 1 4
Direct
0.0000 0.0000 0.0000
0.2500 0.2500 0.2500
0.1220 0.6260 0.6260
0.6260 0.1220 0.6260
0.6260 0.6260 0.1220
0.6260 0.6260 0.6260
```

Calculated values
The density of states at the Fermi level comes out at 8.354 states/eV/f.u. The final energy comes out at -7.357 eV/atom.

=====

Here is a geometry-optimized KAg2Au structure from Alexandria. Energies are from PBE.

Structure (POSCAR):
```
KAg2Au
1.0
2.9330 0.0000 0.0000
0.0000 4.6583 0.0000
-1.4473 0.0000 7.0933
K Ag Au
1 2 1
Direct
0.0000 0.0000 0.0000
0.2427 0.0000 0.4784
0.6813 0.5000 0.3561
0.3602 0.5000 0.7207
```

Calculated values
For the relative energy among the computed polymorphs, the calculation gives 0.139 eV/atom. The density of states at the Fermi level comes out at 0.983 states/eV/f.u.

=====

Here is a geometry-optimized AlZn2Pb structure from Alexandria. Energies are from PBE.

Structure (POSCAR):
```
AlZn2Pb
1.0
-2.2569 2.2569 4.0374
2.2569 -2.2569 4.0374
2.2569 2.2569 -4.0374
Al Zn Pb
1 2 1
Direct
0.0000 0.0000 0.0000
0.2500 0.7500 0.5000
0.7500 0.2500 0.5000
0.5000 0.5000 0.0000
```

Calculated values
For the relative energy among the computed polymorphs, the calculation gives 0.092 eV/atom. The density of states at the Fermi level comes out at 1.692 states/eV/f.u.

=====

Here is a geometry-optimized TiGaBr4 structure from Alexandria. Energies are from PBE.

Structure (POSCAR):
```
TiGaBr4
1.0
7.5225 -1.9608 0.0000
7.5225 1.9608 0.0000
-3.2492 0.0000 6.8199
Ti Ga Br
1 1 4
Direct
0.0000 0.0000 0.0000
0.5000 0.5000 0.5000
0.1119 0.1119 0.8278
0.3927 0.3927 0.7672
0.6073 0.6073 0.2328
0.8881 0.8881 0.1722
```

Calculated values
The density of states at the Fermi level comes out at 3.288 states/eV/f.u. As for the formation energy from raw total energies: -0.96 eV per atom.

=====

Here is a geometry-optimized CaPr7 structure from Alexandria. Energies are from PBE.

Structure (POSCAR):
```
CaPr7
1.0
0.0000 5.2618 5.2618
5.2618 0.0000 5.2618
5.2618 5.2618 0.0000
Ca Pr
1 7
Direct
0.0000 0.0000 0.0000
0.0000 0.0000 0.5000
0.0000 0.5000 0.0000
0.0000 0.5000 0.5000
0.5000 0.0000 0.0000
0.5000 0.0000 0.5000
0.5000 0.5000 0.0000
0.5000 0.5000 0.5000
```

Calculated values
The density of states at the Fermi level comes out at 7.973 states/eV/f.u. The final energy comes out at -4.412 eV/atom.

=====

Here is a geometry-optimized YMg2P structure from Alexandria. Energies are from PBE.

Structure (POSCAR):
```
YMg2P
1.0
-4.1736 4.1736 2.7772
4.1736 -4.1736 2.7772
4.1736 4.1736 -2.7772
Y Mg P
2 4 2
Direct
0.0000 0.0000 0.0000
0.7500 0.2500 0.5000
0.1979 0.6250 0.0729
0.3750 0.4479 0.5729
0.5521 0.1250 0.9271
0.8750 0.8021 0.4271
0.2500 0.7500 0.5000
0.5000 0.5000 0.0000
```

Calculated values
The density of states at the Fermi level comes out at 0.325 states/eV/f.u. The final energy comes out at -4.174 eV/atom.

=====

Here is a geometry-optimized CeNpOs structure from Alexandria. Energies are from PBE.

Structure (POSCAR):
```
CeNpOs
1.0
-1.7409 1.7409 5.0696
1.7409 -1.7409 5.0696
1.7409 1.7409 -5.0696
Ce Np Os
1 1 1
Direct
0.0000 0.0000 0.0000
0.6744 0.6744 0.0000
0.3209 0.3209 0.0000
```

Calculated values
For the relative energy among the computed polymorphs, the calculation gives 0.000 eV/atom. The density of states at the Fermi level comes out at 8.863 states/eV/f.u.

=====

Here is a geometry-optimized Sm2AlZn3Pt4 structure from Alexandria. Energies are from PBE.

Structure (POSCAR):
```
Sm2AlZn3Pt4
1.0
4.1796 0.0000 0.0000
0.0000 4.1796 0.0000
0.0000 0.0000 10.8196
Sm Al Zn Pt
2 1 3 4
Direct
0.0000 0.5000 0.2401
0.5000 0.0000 0.7599
0.0000 0.0000 0.5000
0.0000 0.5000 0.8652
0.5000 0.0000 0.1348
0.5000 0.5000 0.5000
0.0000 0.0000 0.0000
0.0000 0.5000 0.6351
0.5000 0.0000 0.3649
0.5000 0.5000 0.0000
```

Calculated values
The density of states at the Fermi level comes out at 5.801 states/eV/f.u. The final energy comes out at -4.959 eV/atom.

=====

Here is a geometry-optimized CaNpZn17 structure from Alexandria. Energies are from PBE.

Structure (POSCAR):
```
CaNpZn17
1.0
4.5094 2.6035 4.4124
-4.5094 2.6035 4.4124
0.0000 -5.2070 4.4124
Ca Np Zn
1 1 17
Direct
0.0000 0.0000 0.0000
0.3264 0.3264 0.3264
0.0174 0.0174 0.4985
0.0174 0.4985 0.0174
0.1630 0.6614 0.6614
0.3118 0.3118 0.8198
0.3118 0.8198 0.3118
0.3658 0.6623 0.9596
0.3658 0.9596 0.6623
0.4985 0.0174 0.0174
0.5607 0.5607 0.5607
0.6614 0.1630 0.6614
0.6614 0.6614 0.1630
0.6623 0.3658 0.9596
0.6623 0.9596 0.3658
0.7613 0.7613 0.7613
0.8198 0.3118 0.3118
0.9596 0.3658 0.6623
0.9596 0.6623 0.3658
```

Calculated values
The density of states at the Fermi level comes out at 15.070 states/eV/f.u. The final energy comes out at -2.042 eV/atom.

=====

Here is a geometry-optimized Rb3In5Hg6 structure from Alexandria. Energies are from PBE.

Structure (POSCAR):
```
Rb3In5Hg6
1.0
5.2924 0.0000 0.0000
0.0000 16.7043 0.0000
0.0000 0.0000 10.4207
Rb In Hg
6 10 12
Direct
0.2500 0.0338 0.2095
0.2500 0.4662 0.2095
0.2500 0.7500 0.3146
0.7500 0.2500 0.6854
0.7500 0.5338 0.7905
0.7500 0.9662 0.7905
0.2500 0.0871 0.5781
0.2500 0.4129 0.5781
0.2500 0.6519 0.9849
0.2500 0.7500 0.7225
0.2500 0.8481 0.9849
0.7500 0.1519 0.0151
0.7500 0.2500 0.2775
0.7500 0.3481 0.0151
0.7500 0.5871 0.4219
0.7500 0.9129 0.4219
0.2500 0.1229 0.8674
0.2500 0.2500 0.1010
0.2500 0.2500 0.4289
0.2500 0.3771 0.8674
0.2500 0.5944 0.5613
0.2500 0.9056 0.5613
0.7500 0.0944 0.4387
0.7500 0.4056 0.4387
0.7500 0.6229 0.1326
0.7500 0.7500 0.5711
0.7500 0.7500 0.8990
0.7500 0.8771 0.1326
```

Calculated values
The density of states at the Fermi level comes out at 6.633 states/eV/f.u. The final energy comes out at -1.448 eV/atom.

=====

Here is a geometry-optimized Tb2YH structure from Alexandria. Energies are from PBE.

Structure (POSCAR):
```
Tb2YH
1.0
1.8107 1.0454 8.5043
-1.8107 1.0454 8.5043
0.0000 -2.0908 8.5043
Tb Y H
2 1 1
Direct
0.2205 0.2205 0.2205
0.7795 0.7795 0.7795
0.0000 0.0000 0.0000
0.5000 0.5000 0.5000
```

Calculated values
For the relative energy among the computed polymorphs, the calculation gives 0.000 eV/atom. The density of states at the Fermi level comes out at 2.926 states/eV/f.u.

=====

Here is a geometry-optimized PmGa2As structure from Alexandria. Energies are from PBE.

Structure (POSCAR):
```
PmGa2As
1.0
4.3526 0.0000 0.0000
0.0000 4.3526 0.0000
0.0000 0.0000 4.4714
Pm Ga As
1 2 1
Direct
0.0000 0.0000 0.0000
0.0000 0.5000 0.5000
0.5000 0.0000 0.5000
0.5000 0.5000 0.0000
```

Calculated values
For the relative energy among the computed polymorphs, the calculation gives 0.000 eV/atom. The density of states at the Fermi level comes out at 1.833 states/eV/f.u.

=====

Here is a geometry-optimized PmPaGa4 structure from Alexandria. Energies are from PBE.

Structure (POSCAR):
```
PmPaGa4
1.0
4.0982 0.0000 0.0000
0.0000 4.2377 0.0000
0.0000 0.0000 7.3639
Pm Pa Ga
1 1 4
Direct
0.0000 0.0000 0.0000
0.0000 0.5000 0.5000
0.5000 0.0000 0.3357
0.5000 0.0000 0.6643
0.5000 0.5000 0.1688
0.5000 0.5000 0.8312
```

Calculated values
For the relative energy among the computed polymorphs, the calculation gives 0.000 eV/atom. The density of states at the Fermi level comes out at 4.410 states/eV/f.u.

=====

Here is a geometry-optimized LiRe4Sb structure from Alexandria. Energies are from PBE.

Structure (POSCAR):
```
LiRe4Sb
1.0
0.0000 3.7176 3.7176
3.7176 0.0000 3.7176
3.7176 3.7176 0.0000
Li Re Sb
1 4 1
Direct
0.0000 0.0000 0.0000
0.1238 0.6254 0.6254
0.6254 0.1238 0.6254
0.6254 0.6254 0.1238
0.6254 0.6254 0.6254
0.2500 0.2500 0.2500
```

Calculated values
The density of states at the Fermi level comes out at 6.215 states/eV/f.u. As for the formation energy from raw total energies: 0.58 eV per atom.

=====

Here is a geometry-optimized AlHI3 structure from Alexandria. Energies are from PBE.

Structure (POSCAR):
```
AlHI3
1.0
-6.8793 4.5492 3.1952
6.8793 -4.5492 3.1952
6.8793 4.5492 -3.1952
Al H I
2 2 6
Direct
0.1867 0.2500 0.4367
0.8133 0.7500 0.5633
0.5175 0.4827 0.5349
0.9478 0.9827 0.4651
0.0003 0.3334 0.1669
0.1665 0.8334 0.8331
0.2427 0.0395 0.3192
0.2427 0.4235 0.7032
0.7204 0.5395 0.2968
0.7204 0.9235 0.6808
```

Calculated values
For the relative energy among the computed polymorphs, the calculation gives 0.000 eV/atom. The density of states at the Fermi level comes out at 1.913 states/eV/f.u.